First-principles (PBE-GGA) data for a relaxed structure of Ho2Si4CN6, as listed in Alexandria via LeMat-Bulk.

Computed properties:
Symmetry: No. 14
ΔE_f (raw): -15.9 eV per formula unit

Cell lengths 5.939, 9.979, 10.354 Å; angles 90.00, 89.70, 90.00 degrees
Element x y z (fractional)
N  0.839  0.545  0.100
N  0.339  0.955  0.600
N  0.970  0.788  0.991
N  0.494  0.712  0.000
N  0.566  0.053  0.136
N  0.006  0.212  0.500
N  0.161  0.455  0.900
N  0.478  0.535  0.276
N  0.506  0.288  0.000
N  0.978  0.965  0.776
N  0.725  0.738  0.754
N  0.661  0.045  0.400
N  0.434  0.947  0.864
N  0.030  0.212  0.009
N  0.934  0.553  0.364
N  0.275  0.262  0.246
N  0.775  0.238  0.746
N  0.066  0.447  0.636
N  0.522  0.465  0.724
N  0.225  0.762  0.254
N  0.470  0.712  0.491
N  0.994  0.788  0.500
N  0.022  0.035  0.224
N  0.530  0.288  0.509
Ho  0.262  0.913  0.083
Ho  0.762  0.587  0.583
Ho  0.238  0.413  0.417
Ho  0.266  0.069  0.406
Ho  0.234  0.569  0.094
Ho  0.766  0.431  0.906
Ho  0.734  0.931  0.594
Ho  0.738  0.087  0.917
Si  0.526  0.295  0.676
Si  0.244  0.287  0.920
Si  0.254  0.021  0.749
Si  0.974  0.795  0.824
Si  0.256  0.787  0.580
Si  0.520  0.226  0.159
Si  0.746  0.979  0.251
Si  0.026  0.205  0.176
Si  0.980  0.726  0.341
Si  0.754  0.479  0.249
Si  0.744  0.213  0.420
Si  0.480  0.774  0.841
Si  0.756  0.713  0.080
Si  0.020  0.274  0.659
Si  0.246  0.521  0.751
Si  0.474  0.705  0.324
C  0.228  0.708  0.748
C  0.272  0.208  0.752
C  0.728  0.792  0.248
C  0.772  0.292  0.252



First-principles (PBE-GGA) data for a relaxed structure of Ho6Te3C2N, as listed in Alexandria via LeMat-Bulk.

Computed properties:
Symmetry: No. 12
ΔE_f (raw): -12.7 eV per formula unit

Cell lengths 6.561, 6.561, 7.276 Å; angles 98.64, 98.64, 119.99 degrees
Element x y z (fractional)
Te  0.167  0.833  0.500
Te  0.833  0.167  0.500
Te  0.500  0.500  0.500
Ho  0.062  0.395  0.186
Ho  0.605  0.938  0.814
Ho  0.395  0.062  0.186
Ho  0.938  0.605  0.814
Ho  0.729  0.729  0.187
Ho  0.271  0.271  0.813
N  0.000  0.000  0.000
C  0.333  0.667  0.000
C  0.667  0.333  0.000



First-principles (PBE-GGA) data for a relaxed structure of Ho8Te4C3N, as listed in Alexandria via LeMat-Bulk.

Computed properties:
Symmetry: No. 166
ΔE_f (raw): -16.2 eV per formula unit

Cell lengths 7.596, 8.208, 7.596 Å; angles 117.56, 120.00, 90.00 degrees
Element x y z (fractional)
C  0.000  0.500  0.500
C  0.500  0.500  0.500
C  0.500  0.500  0.000
Te  0.500  0.000  0.000
Te  0.500  0.000  0.500
Te  0.000  0.000  0.000
Te  0.000  0.000  0.500
Ho  0.727  0.686  0.957
Ho  0.270  0.311  0.541
Ho  0.771  0.314  0.541
Ho  0.730  0.689  0.459
Ho  0.229  0.686  0.957
Ho  0.771  0.314  0.043
Ho  0.273  0.314  0.043
Ho  0.229  0.686  0.459
N  0.000  0.500  0.000



First-principles (PBE-GGA) data for a relaxed structure of Ho4Te2CN, as listed in Alexandria via LeMat-Bulk.

Computed properties:
Symmetry: No. 10
ΔE_f (raw): -9.1 eV per formula unit

Cell lengths 3.776, 6.538, 7.253 Å; angles 107.53, 90.00, 90.00 degrees
Element x y z (fractional)
N  0.000  0.000  0.000
Ho  0.500  0.771  0.815
Ho  0.500  0.229  0.185
Ho  0.000  0.728  0.188
Ho  0.000  0.272  0.812
C  0.500  0.500  0.000
Te  0.000  0.500  0.500
Te  0.500  0.000  0.500



First-principles (PBE-GGA) data for a relaxed structure of Ho8Te3C3N, as listed in Alexandria via LeMat-Bulk.

Computed properties:
Symmetry: No. 166
ΔE_f (raw): -13.4 eV per formula unit

Cell lengths 7.457, 7.460, 8.214 Å; angles 117.03, 90.00, 120.00 degrees
Each line ends with the local moment (μB).
Element x y z (fractional)
Ho  0.229  0.457  0.684  0.11
Ho  0.771  0.543  0.316  0.11
Ho  0.729  0.457  0.686  0.02
Ho  0.229  0.956  0.684  0.11
Ho  0.771  0.044  0.316  0.11
Ho  0.727  0.956  0.684  0.11
Ho  0.271  0.543  0.314  0.02
Ho  0.273  0.044  0.316  0.11
Te  0.000  0.000  0.000  0.01
Te  0.500  0.500  0.000  0.01
Te  0.000  0.500  0.000  0.01
N  0.000  0.000  0.500  -0.01
C  0.500  0.500  0.500  -0.01
C  0.000  0.500  0.500  -0.01
C  0.500  0.000  0.500  -0.01



First-principles (PBE-GGA) data for a relaxed structure of Ho3TeCN, as listed in Alexandria via LeMat-Bulk.

Computed properties:
Symmetry: No. 11
ΔE_f (raw): -6.4 eV per formula unit

Cell lengths 3.859, 7.284, 9.968 Å; angles 110.84, 90.00, 90.00 degrees
Element x y z (fractional)
C  0.750  0.304  0.886
C  0.250  0.696  0.114
N  0.750  0.904  0.383
N  0.250  0.096  0.617
Te  0.750  0.695  0.694
Te  0.250  0.305  0.306
Ho  0.750  0.476  0.130
Ho  0.250  0.075  0.824
Ho  0.750  0.925  0.176
Ho  0.250  0.798  0.436
Ho  0.750  0.202  0.564
Ho  0.250  0.524  0.870



First-principles (PBE-GGA) data for a relaxed structure of Ho2TlC2N6, as listed in Alexandria via LeMat-Bulk.

Computed properties:
Symmetry: No. 12
ΔE_f (raw): -3.0 eV per formula unit

Cell lengths 6.011, 6.018, 6.097 Å; angles 111.98, 90.00, 60.04 degrees
Each line ends with the local moment (μB).
Element x y z (fractional)
N  0.926  0.148  0.360  0.02
N  0.074  0.852  0.640  0.02
N  0.016  0.594  0.819  0.12
N  0.390  0.594  0.819  0.12
N  0.984  0.406  0.181  0.12
N  0.610  0.406  0.181  0.12
C  0.842  0.316  0.245  -0.01
C  0.158  0.684  0.755  -0.01
Ho  0.171  0.658  0.206  0.02
Ho  0.829  0.342  0.794  0.02
Tl  0.500  0.000  0.500  0.00



First-principles (PBE-GGA) data for a relaxed structure of HoUCN, as listed in Alexandria via LeMat-Bulk.

Computed properties:
Symmetry: No. 160
ΔE_f (raw): -3.6 eV per formula unit

Cell lengths 3.501, 3.501, 6.008 Å; angles 73.06, 73.06, 60.00 degrees
Each line ends with the local moment (μB).
Element x y z (fractional)
U  0.694  0.694  0.917  0.44
N  0.436  0.436  0.691  -0.02
C  0.953  0.953  0.141  -0.02
Ho  0.193  0.193  0.422  0.02



Which calculated volume belongs to each record? In order, 11.80; 21.56; 21.67; 21.34; 22.46; 21.82; 15.67; 15.01 A^3/atom.